Entry from Alexandria via LeMat-Bulk: a geometry-optimized VRhPb2O structure (PBE with a Hubbard U).

Computed properties:
**Total DFT energy (no corrections)**: -0.329 Ry/atom
**Crystal system**: tetragonal

Unit cell a=5.232 b=5.232 c=4.653 alpha=90.00 beta=90.00 gamma=90.00
Space group P4/mmm (No. 123)
One atom of each set of equivalent atoms:
V 0.000 0.000 0.000
Rh 0.000 0.000 0.500
Pb 0.000 0.500 0.500
O 0.500 0.500 0.000